[1]
{"formula": "Nd6TlHg2", "functional": "GGA-PBE", "state": "optimized geometry", "lattice": [[5.079, 0.000, 1.691], [2.540, 6.530, 0.844], [0.003, 0.002, 8.464]], "species": ["Hg", "Tl", "Nd", "Nd", "Nd", "Nd", "Hg", "Nd", "Nd"], "fractional_positions": [[0.664, 0.500, 0.172], [0.000, 0.500, 0.500], [0.679, 0.804, 0.837], [0.657, 0.187, 0.500], [0.983, 0.196, 0.837], [0.321, 0.196, 0.163], [0.336, 0.500, 0.828], [0.017, 0.804, 0.163], [0.343, 0.813, 0.500]], "formation_enthalpy_0k_ev_per_fu": -2.50, "relative_energy_ev_per_atom": 0.000, "space_group": "Fmmm"}

[2]
{"formula": "DyGa2Ni2Rh", "functional": "GGA-PBE", "state": "optimized geometry", "lattice": [[4.636, 0.000, 0.000], [0.000, 4.636, 0.000], [0.000, 0.000, 5.198]], "species": ["Ga", "Ni", "Dy", "Rh", "Ni", "Ga"], "fractional_positions": [[0.000, 0.500, 0.000], [0.500, 0.500, 0.747], [0.000, 0.000, 0.500], [0.000, 0.000, 0.000], [0.500, 0.500, 0.253], [0.500, 0.000, 0.000]], "formation_enthalpy_0k_ev_per_fu": -0.87, "space_group": "P4/mmm"}

[3]
{"formula": "ErHf2Ga9", "functional": "GGA-PBE", "state": "optimized geometry", "lattice": [[-1.027, -2.936, -2.772], [3.963, -0.185, -1.272], [2.300, -8.774, 8.441]], "species": ["Ga", "Ga", "Hf", "Ga", "Ga", "Ga", "Ga", "Ga", "Ga", "Hf", "Er", "Ga"], "fractional_positions": [[0.000, 0.500, 0.174], [0.500, 0.000, 0.500], [0.000, 0.000, 0.339], [0.000, 0.500, 0.826], [0.500, 0.500, 0.665], [0.500, 0.500, 0.000], [0.500, 0.000, 0.174], [0.000, 0.500, 0.500], [0.500, 0.500, 0.335], [0.000, 0.000, 0.661], [0.000, 0.000, 0.000], [0.500, 0.000, 0.826]], "formation_enthalpy_0k_ev_per_fu": -5.01, "space_group": "P4/mmm"}